Ac2TlNi4Sn3: relaxed, PBE-GGA.

Lattice parameters (Å, degrees): 4.5710 4.5710 10.5017 90.00 90.00 90.00
Last column: nearest neighbours and their distance in Å.
Fractional positions:
1 Ac 0.0000 0.5000 0.2389  8 Ni 3.39-3.49, 7 Sn 3.47-3.76, 2 Tl 3.57
2 Ac 0.5000 0.0000 0.7611  8 Ni 3.39-3.49, 7 Sn 3.47-3.76, 2 Tl 3.57
3 Tl 0.0000 0.0000 0.5000  4 Ni 2.70
4 Ni 0.0000 0.0000 0.0000  4 Sn 2.60
5 Ni 0.0000 0.5000 0.6360  3 Sn 2.57-2.70, 2 Tl 2.70
6 Ni 0.5000 0.0000 0.3640  3 Sn 2.57-2.70, 2 Tl 2.70
7 Ni 0.5000 0.5000 0.0000  4 Sn 2.60
8 Sn 0.0000 0.5000 0.8810  5 Ni 2.57-2.60
9 Sn 0.5000 0.0000 0.1190  5 Ni 2.57-2.60
10 Sn 0.5000 0.5000 0.5000  4 Ni 2.70

## Properties
energy of formation from the pure elements: -0.434 eV/atom
space-group type: P-4m2